A plane-wave DFT calculation with PBE was carried out for a geometry-optimized CeEuZn2 structure.

Values from the calculation:
- final energy (eV/atom) = -4.90
- SG = P4/mmm (123)
- N(E_F) (states/eV/atom) = 2.13
- formation energy from the elements (eV per atom) = -0.212

a b c (Å): 3.679 3.679 7.436
angles (deg): 90.00 90.00 90.00
Positions (direct):
Ce1 0.000 0.000 0.000
Eu1 0.000 0.000 0.500
Zn1 0.500 0.500 0.235
Zn2 0.500 0.500 0.765

=====

A plane-wave DFT calculation with PBE was carried out for a geometry-optimized SiPdSe2Br structure.

Values from the calculation:
- final energy (eV/atom) = -3.35
- SG = P4/mmm (123)
- uncorrected formation energy (eV/atom) = 0.498
- N(E_F) (states/eV/atom) = 0.64

a b c (Å): 4.955 4.955 5.033
angles (deg): 90.00 90.00 90.00
Positions (direct):
Si1 0.000 0.000 0.000
Pd1 0.500 0.500 0.500
Se1 0.000 0.500 0.500
Se2 0.500 0.000 0.500
Br1 0.500 0.500 0.000

=====

A plane-wave DFT calculation with PBE was carried out for a geometry-optimized Dy3CuC structure.

Values from the calculation:
- final energy (eV/atom) = -5.50
- E above lowest polymorph (meV per atom) = 118
- SG = Pm-3m (221)
- N(E_F) (states/eV/atom) = 1.28
- formation energy from the elements (eV per atom) = -0.072

a b c (Å): 4.848 4.848 4.848
angles (deg): 90.00 90.00 90.00
Positions (direct):
Dy1 0.000 0.000 0.500
Dy2 0.000 0.500 0.000
Dy3 0.500 0.000 0.000
Cu1 0.500 0.500 0.500
C1 0.000 0.000 0.000

=====

A plane-wave DFT calculation with PBE was carried out for a geometry-optimized LaFeAg2 structure.

Values from the calculation:
- final energy (eV/atom) = -4.55
- SG = Amm2 (38)
- N(E_F) (states/eV/atom) = 1.18
- formation energy from the elements (eV per atom) = 0.222

a b c (Å): 4.169 3.681 11.099
angles (deg): 90.00 90.00 90.00
Positions (direct):
La1 0.000 0.000 0.000
La2 0.000 0.500 0.500
Fe1 0.500 0.000 0.419
Fe2 0.500 0.500 0.919
Ag1 0.000 0.000 0.270
Ag2 0.000 0.500 0.770
Ag3 0.500 0.000 0.696
Ag4 0.500 0.500 0.196

=====

A plane-wave DFT calculation with PBE was carried out for a geometry-optimized Re5Ru4 structure.

Values from the calculation:
- final energy (eV/atom) = -10.98
- E above lowest polymorph (meV per atom) = 0
- SG = I4/mmm (139)
- N(E_F) (states/eV/atom) = 1.16
- formation energy from the elements (eV per atom) = 0.058

a b c (Å): 6.122 6.122 6.122
angles (deg): 95.76 95.76 143.08
Positions (direct):
Re1 0.000 0.000 0.000
Re2 0.332 0.332 0.664
Re3 0.332 0.668 0.000
Re4 0.668 0.332 0.000
Re5 0.668 0.668 0.336
Ru1 0.000 0.333 0.333
Ru2 0.000 0.667 0.667
Ru3 0.333 0.000 0.333
Ru4 0.667 0.000 0.667

=====

A plane-wave DFT calculation with PBE was carried out for a geometry-optimized TiMnB2Pb structure.

Values from the calculation:
- final energy (eV/atom) = -4.62
- E above lowest polymorph (meV per atom) = 1442
- SG = P4/mmm (123)
- N(E_F) (states/eV/atom) = 1.01
- formation energy from the elements (eV per atom) = 2.206

a b c (Å): 4.546 4.546 5.007
angles (deg): 90.00 90.00 90.00
Positions (direct):
Ti1 0.000 0.000 0.000
Mn1 0.500 0.500 0.000
B1 0.000 0.500 0.500
B2 0.500 0.000 0.500
Pb1 0.500 0.500 0.500

=====

A plane-wave DFT calculation with PBE was carried out for a geometry-optimized Na3Ac3TaS8 structure.

Values from the calculation:
- final energy (eV/atom) = -5.66
- SG = R-3m (166)
- uncorrected formation energy (eV/atom) = -1.585
- N(E_F) (states/eV/atom) = 0.30

a b c (Å): 8.320 8.320 8.320
angles (deg): 60.66 60.66 60.66
Positions (direct):
Na1 0.000 0.500 0.500
Na2 0.500 0.000 0.500
Na3 0.500 0.500 0.000
Ac1 0.000 0.000 0.500
Ac2 0.000 0.500 0.000
Ac3 0.500 0.000 0.000
Ta1 0.500 0.500 0.500
S1 0.250 0.250 0.250
S2 0.285 0.285 0.714
S3 0.285 0.714 0.285
S4 0.286 0.715 0.715
S5 0.714 0.285 0.285
S6 0.715 0.286 0.715
S7 0.715 0.715 0.286
S8 0.750 0.750 0.750

=====

A plane-wave DFT calculation with PBE was carried out for a geometry-optimized LiThH6Pd2 structure.

Values from the calculation:
- final energy (eV/atom) = -4.31
- SG = R-3m (166)
- N(E_F) (states/eV/atom) = 0.23

a b c (Å): 5.847 5.847 5.847
angles (deg): 45.68 45.68 45.68
Positions (direct):
Li1 0.000 0.000 0.000
Th1 0.500 0.500 0.500
H1 0.052 0.052 0.593
H2 0.052 0.593 0.052
H3 0.407 0.948 0.948
H4 0.593 0.052 0.052
H5 0.948 0.407 0.948
H6 0.948 0.948 0.407
Pd1 0.292 0.292 0.292
Pd2 0.708 0.708 0.708

=====

A plane-wave DFT calculation with PBE was carried out for a geometry-optimized CrH2Au2 structure.

Values from the calculation:
- final energy (eV/atom) = -4.42
- SG = P4/mbm (127)
- N(E_F) (states/eV/atom) = 0.35

a b c (Å): 5.724 5.724 3.794
angles (deg): 90.00 90.00 90.00
Positions (direct):
Cr1 0.000 0.000 0.000
Cr2 0.500 0.500 0.000
H1 0.195 0.305 0.000
H2 0.305 0.805 0.000
H3 0.695 0.195 0.000
H4 0.805 0.695 0.000
Au1 0.186 0.314 0.500
Au2 0.314 0.814 0.500
Au3 0.686 0.186 0.500
Au4 0.814 0.686 0.500

=====

A plane-wave DFT calculation with PBE was carried out for a geometry-optimized VPPd structure.

Values from the calculation:
- final energy (eV/atom) = -7.05
- SG = F-43m (216)
- N(E_F) (states/eV/atom) = 0.58
- formation energy from the elements (eV per atom) = -0.474

a b c (Å): 5.698 5.698 5.698
angles (deg): 90.00 90.00 90.00
Positions (direct):
V1 0.000 0.000 0.000
V2 0.000 0.500 0.500
V3 0.500 0.000 0.500
V4 0.500 0.500 0.000
P1 0.250 0.250 0.250
P2 0.250 0.750 0.750
P3 0.750 0.250 0.750
P4 0.750 0.750 0.250
Pd1 0.000 0.000 0.500
Pd2 0.000 0.500 0.000
Pd3 0.500 0.000 0.000
Pd4 0.500 0.500 0.500

=====

A plane-wave DFT calculation with PBE was carried out for a geometry-optimized NaNd2Al structure.

Values from the calculation:
- final energy (eV/atom) = -3.71
- E above lowest polymorph (meV per atom) = 29
- SG = Fm-3m (225)
- N(E_F) (states/eV/atom) = 1.31
- formation energy from the elements (eV per atom) = -0.058

a b c (Å): 7.690 7.690 7.690
angles (deg): 90.00 90.00 90.00
Positions (direct):
Na1 0.000 0.000 0.000
Na2 0.000 0.500 0.500
Na3 0.500 0.000 0.500
Na4 0.500 0.500 0.000
Nd1 0.250 0.250 0.250
Nd2 0.250 0.250 0.750
Nd3 0.250 0.750 0.250
Nd4 0.250 0.750 0.750
Nd5 0.750 0.250 0.250
Nd6 0.750 0.250 0.750
Nd7 0.750 0.750 0.250
Nd8 0.750 0.750 0.750
Al1 0.000 0.000 0.500
Al2 0.000 0.500 0.000
Al3 0.500 0.000 0.000
Al4 0.500 0.500 0.500

=====

A plane-wave DFT calculation with PBE was carried out for a geometry-optimized Nd6AgAu structure.

Values from the calculation:
- final energy (eV/atom) = -4.57
- SG = I4/mmm (139)
- N(E_F) (states/eV/atom) = 1.56
- formation energy from the elements (eV per atom) = -0.230

a b c (Å): 5.272 5.272 17.683
angles (deg): 90.00 90.00 90.00
Positions (direct):
Nd1 0.000 0.000 0.249
Nd2 0.000 0.000 0.751
Nd3 0.000 0.500 0.105
Nd4 0.000 0.500 0.395
Nd5 0.000 0.500 0.605
Nd6 0.000 0.500 0.895
Nd7 0.500 0.000 0.105
Nd8 0.500 0.000 0.395
Nd9 0.500 0.000 0.605
Nd10 0.500 0.000 0.895
Nd11 0.500 0.500 0.251
Nd12 0.500 0.500 0.749
Ag1 0.000 0.000 0.000
Ag2 0.500 0.500 0.500
Au1 0.000 0.000 0.500
Au2 0.500 0.500 0.000